[1]
The following is a DFT calculation (PBE) of crystalline K3Pm2BiS6 at its relaxed geometry.

Unit cell a=7.217 b=7.217 c=7.773 alpha=98.90 beta=98.90 gamma=119.99
Element x y z (fractional)
K1 0.165 0.835 0.500
K2 0.835 0.165 0.500
K3 0.500 0.500 0.500
Pm1 0.333 0.667 0.000
Pm2 0.667 0.333 0.000
Bi1 0.000 0.000 0.000
S1 0.931 0.595 0.792
S2 0.734 0.734 0.207
S3 0.069 0.405 0.208
S4 0.595 0.931 0.792
S5 0.266 0.266 0.793
S6 0.405 0.069 0.208

=====

[2]
The following is a DFT calculation (PBE) of crystalline K2PmBiSe4 at its relaxed geometry.

Unit cell a=4.321 b=7.498 c=8.106 alpha=107.89 beta=90.00 gamma=90.00
Element x y z (fractional)
K1 0.500 0.000 0.500
K2 0.000 0.500 0.500
Pm1 0.500 0.500 0.000
Bi1 0.000 0.000 0.000
Se1 0.500 0.239 0.212
Se2 0.500 0.761 0.788
Se3 0.000 0.264 0.790
Se4 0.000 0.736 0.210

=====

[3]
The following is a DFT calculation (PBE) of crystalline K4Pm3BiSe8 at its relaxed geometry.

Unit cell a=8.645 b=9.183 c=8.645 alpha=118.08 beta=120.00 gamma=90.00
Element x y z (fractional)
K1 0.500 0.000 0.000
K2 0.500 0.000 0.500
K3 0.000 0.000 0.000
K4 0.000 0.000 0.500
Pm1 0.500 0.500 0.000
Pm2 0.500 0.500 0.500
Pm3 0.000 0.500 0.500
Bi1 0.000 0.500 0.000
Se1 0.238 0.711 0.973
Se2 0.238 0.711 0.475
Se3 0.263 0.290 0.527
Se4 0.736 0.711 0.973
Se5 0.264 0.289 0.027
Se6 0.737 0.710 0.473
Se7 0.762 0.289 0.525
Se8 0.762 0.289 0.027

=====

no.,total DFT energy (no corrections) (eV per atom)
1,-4.97
2,-4.38
3,-4.67